[1]
# Mn2SbPt2, relaxed, DFT PBE
# E_form (uncorrected)   0.111 eV/atom
# Electronic total energy   -6.797 eV per atom
# Energy above the lowest structure with this stoichiometry   0 meV/atom
data_Mn2SbPt2
_chemical_formula_sum 'Mn4 Sb2 Pt4'
_symmetry_space_group_name_H-M 'P 1'
_symmetry_Int_Tables_number 1
_cell_length_a 6.405
_cell_length_b 6.405
_cell_length_c 3.844
_cell_angle_alpha 90.00
_cell_angle_beta 90.00
_cell_angle_gamma 90.00
loop_
_symmetry_equiv_pos_as_xyz
'x,y,z'
loop_
_atom_site_label
_atom_site_fract_x
_atom_site_fract_y
_atom_site_fract_z
Pt1 0.843 0.343 0.500
Pt2 0.343 0.157 0.500
Pt3 0.657 0.843 0.500
Mn1 0.621 0.121 0.000
Mn2 0.879 0.621 0.000
Sb1 0.500 0.500 0.000
Mn3 0.121 0.379 0.000
Mn4 0.379 0.879 0.000
Pt4 0.157 0.657 0.500
Sb2 0.000 0.000 0.000

[2]
# RuAuN2O, relaxed, DFT PBE
# E_form (uncorrected)   2.133 eV/atom
# Electronic total energy   -4.699 eV per atom
data_RuAuN2O
_chemical_formula_sum 'Ru1 Au1 N2 O1'
_symmetry_space_group_name_H-M 'P 1'
_symmetry_Int_Tables_number 1
_cell_length_a 4.040
_cell_length_b 4.040
_cell_length_c 4.017
_cell_angle_alpha 90.00
_cell_angle_beta 90.00
_cell_angle_gamma 90.00
loop_
_symmetry_equiv_pos_as_xyz
'x,y,z'
loop_
_atom_site_label
_atom_site_fract_x
_atom_site_fract_y
_atom_site_fract_z
O1 0.000 0.000 0.500
Au1 0.000 0.000 0.000
N1 0.000 0.500 0.000
Ru1 0.500 0.500 0.500
N2 0.500 0.000 0.000

[3]
# MnInW2, relaxed, DFT PBE
# Formation enthalpy at 0 K   0.541 eV/atom
# Electronic total energy   -8.913 eV per atom
data_MnInW2
_chemical_formula_sum 'Mn1 In1 W2'
_symmetry_space_group_name_H-M 'P 1'
_symmetry_Int_Tables_number 1
_cell_length_a 9.208
_cell_length_b 9.208
_cell_length_c 9.208
_cell_angle_alpha 18.08
_cell_angle_beta 18.08
_cell_angle_gamma 18.08
loop_
_symmetry_equiv_pos_as_xyz
'x,y,z'
loop_
_atom_site_label
_atom_site_fract_x
_atom_site_fract_y
_atom_site_fract_z
W1 0.009 0.009 0.009
Mn1 0.750 0.750 0.750
In1 0.250 0.250 0.250
W2 0.491 0.491 0.491

[4]
# ErSeI, relaxed, DFT PBE
# E_form (uncorrected)   -1.627 eV/atom
# Electronic total energy   -4.827 eV per atom
# Energy above the lowest structure with this stoichiometry   55 meV/atom
data_ErSeI
_chemical_formula_sum 'Er1 Se1 I1'
_symmetry_space_group_name_H-M 'P 1'
_symmetry_Int_Tables_number 1
_cell_length_a 4.201
_cell_length_b 4.201
_cell_length_c 7.213
_cell_angle_alpha 90.00
_cell_angle_beta 90.00
_cell_angle_gamma 120.00
loop_
_symmetry_equiv_pos_as_xyz
'x,y,z'
loop_
_atom_site_label
_atom_site_fract_x
_atom_site_fract_y
_atom_site_fract_z
Se1 0.333 0.667 0.549
I1 0.000 0.000 0.085
Er1 0.667 0.333 0.366

[5]
# CrSeBr, relaxed, DFT PBE
# E_form (uncorrected)   -0.529 eV/atom
# Electronic total energy   -5.456 eV per atom
data_CrSeBr
_chemical_formula_sum 'Cr4 Se4 Br4'
_symmetry_space_group_name_H-M 'P 1'
_symmetry_Int_Tables_number 1
_cell_length_a 3.608
_cell_length_b 9.787
_cell_length_c 9.787
_cell_angle_alpha 90.00
_cell_angle_beta 90.00
_cell_angle_gamma 90.00
loop_
_symmetry_equiv_pos_as_xyz
'x,y,z'
loop_
_atom_site_label
_atom_site_fract_x
_atom_site_fract_y
_atom_site_fract_z
Cr1 0.000 0.191 0.215
Br1 0.500 0.759 0.607
Se1 0.500 0.239 0.056
Br2 0.000 0.393 0.759
Br3 0.500 0.241 0.393
Cr2 0.500 0.215 0.809
Cr3 0.500 0.785 0.191
Se2 0.000 0.056 0.761
Br4 0.000 0.607 0.241
Se3 0.500 0.761 0.944
Cr4 0.000 0.809 0.785
Se4 0.000 0.944 0.239

[6]
# Dy14HoHf, relaxed, DFT PBE
# Formation enthalpy at 0 K   0.048 eV/atom
# Electronic total energy   -4.887 eV per atom
data_Dy14HoHf
_chemical_formula_sum 'Dy14 Ho1 Hf1'
_symmetry_space_group_name_H-M 'P 1'
_symmetry_Int_Tables_number 1
_cell_length_a 7.025
_cell_length_b 7.025
_cell_length_c 9.916
_cell_angle_alpha 90.00
_cell_angle_beta 90.00
_cell_angle_gamma 90.00
loop_
_symmetry_equiv_pos_as_xyz
'x,y,z'
loop_
_atom_site_label
_atom_site_fract_x
_atom_site_fract_y
_atom_site_fract_z
Dy1 0.630 0.370 0.756
Dy2 0.875 0.625 0.500
Dy3 0.875 0.125 0.500
Dy4 0.630 0.880 0.756
Dy5 0.375 0.625 0.500
Dy6 0.120 0.370 0.244
Hf1 0.875 0.125 0.000
Dy7 0.875 0.625 0.000
Dy8 0.120 0.370 0.756
Dy9 0.120 0.880 0.756
Ho1 0.375 0.625 0.000
Dy10 0.630 0.880 0.244
Dy11 0.375 0.125 0.000
Dy12 0.375 0.125 0.500
Dy13 0.630 0.370 0.244
Dy14 0.120 0.880 0.244